(1)
Below is a relaxed structure of Mg2MnIrO6, with properties calculated at the PBE with a Hubbard U level.

Output
As for the space group: No. 14. As for the relative energy among the computed polymorphs: 26 meV per atom. The raw total energy comes out at -0.243 hartree per atom.

Structure (extended XYZ):
```
20
Lattice="5.259 0.000 0.000 0.000 5.084 -0.024 0.000 4.943 7.824" Properties=species:S:1:pos:R:3 pbc="T T T"
Mg 4.960 4.876 5.987
Mg 2.331 7.621 5.725
Mg 2.929 2.405 2.075
Mg 0.299 5.150 1.813
Mn 2.630 0.000 0.000
Mn 0.000 2.471 3.912
Ir 2.630 5.013 3.900
Ir 0.000 2.542 -0.012
O 2.192 4.323 2.101
O 0.988 9.125 7.350
O 1.022 4.028 4.629
O 3.652 8.469 7.083
O 3.618 3.373 4.362
O 4.822 3.232 1.787
O 0.437 6.794 6.013
O 1.642 6.653 3.438
O 1.607 1.557 0.717
O 4.272 0.902 0.450
O 4.237 5.998 3.171
O 3.067 5.703 5.699
```

---

(2)
Below is a relaxed structure of MgMnIrO2, with properties calculated at the PBE with a Hubbard U level.

Output
As for the space group: No. 123. The raw total energy comes out at -0.178 hartree per atom.

Structure (extended XYZ):
```
5
Lattice="3.798 0.000 0.000 0.000 5.284 0.000 0.000 0.000 3.798" Properties=species:S:1:pos:R:3 pbc="T T T"
Mg 0.000 0.000 0.000
Ir 0.000 2.642 0.000
O 0.000 0.000 1.899
O 1.899 0.000 0.000
Mn 1.899 2.642 1.899
```